1.
Below is a relaxed structure of Ac2TlAsO5, with properties calculated at the GGA-PBE level.

Lattice parameters (Å, degrees): 6.133 7.264 7.264 90.00 90.00 90.00
Element x y z (fractional)
O (0.248, 0.631, 0.869)
O (0.752, 0.369, 0.131)
O (0.500, 0.500, 0.500)
O (0.752, 0.869, 0.369)
As (0.000, 0.500, 0.000)
Tl (0.000, 0.000, 0.000)
O (0.752, 0.631, 0.869)
Tl (0.000, 0.500, 0.500)
Ac (0.500, 0.680, 0.180)
O (0.500, 0.000, 0.000)
Ac (0.500, 0.820, 0.680)
O (0.248, 0.369, 0.131)
O (0.752, 0.131, 0.631)
Ac (0.500, 0.180, 0.320)
O (0.248, 0.131, 0.631)
O (0.248, 0.869, 0.369)
As (0.000, 0.000, 0.500)
Ac (0.500, 0.320, 0.820)

Values from the calculation:
SG: No. 127
Formation energy without anion corrections: -2.07 eV per atom

2.
Below is a relaxed structure of La2ZnSi4Au3, with properties calculated at the GGA-PBE level.

Lattice parameters (Å, degrees): 4.392 4.392 10.251 90.00 90.00 90.00
Element x y z (fractional)
Zn (0.500, 0.500, 0.500)
Au (0.000, 0.000, 0.500)
La (0.000, 0.500, 0.749)
Si (0.500, 0.500, 0.000)
Au (0.000, 0.500, 0.125)
Si (0.000, 0.500, 0.368)
Si (0.500, 0.000, 0.632)
Si (0.000, 0.000, 0.000)
La (0.500, 0.000, 0.251)
Au (0.500, 0.000, 0.875)

Values from the calculation:
SG: No. 115
Formation energy without anion corrections: -0.60 eV per atom

3.
Below is a relaxed structure of Pr4Hg2Ir, with properties calculated at the GGA-PBE level.

Lattice parameters (Å, degrees): 4.713 6.176 8.251 74.65 73.41 67.57
Element x y z (fractional)
Hg (0.642, 0.382, 0.334)
Pr (0.672, 0.722, 0.935)
Hg (0.358, 0.618, 0.666)
Ir (0.000, 0.000, 0.000)
Pr (0.328, 0.278, 0.065)
Pr (0.926, 0.796, 0.351)
Pr (0.074, 0.204, 0.649)

Values from the calculation:
SG: No. 12
ΔE to the lowest computed polymorph: 0 meV per atom
Formation energy from the elements: -0.47 eV per atom

4.
Below is a relaxed structure of Tb12Hg5Rh2, with properties calculated at the GGA-PBE level.

Lattice parameters (Å, degrees): 7.902 9.015 8.952 105.51 90.00 115.99
Element x y z (fractional)
Tb (0.089, 0.657, 0.826)
Tb (0.481, 0.962, 0.179)
Tb (0.417, 0.240, 0.551)
Hg (0.288, 0.577, 0.092)
Hg (0.000, 0.000, 0.500)
Tb (0.519, 0.038, 0.821)
Tb (0.568, 0.657, 0.826)
Hg (0.764, 0.528, 0.464)
Hg (0.712, 0.423, 0.908)
Tb (0.913, 0.826, 0.157)
Tb (0.823, 0.240, 0.551)
Tb (0.087, 0.174, 0.843)
Tb (0.911, 0.343, 0.174)
Rh (0.213, 0.000, 0.000)
Rh (0.787, 0.000, 0.000)
Tb (0.583, 0.760, 0.449)
Tb (0.177, 0.760, 0.449)
Tb (0.432, 0.343, 0.174)
Hg (0.236, 0.472, 0.536)

Values from the calculation:
SG: No. 12
Formation energy from the elements: -0.31 eV per atom

5.
Below is a relaxed structure of Mn3Be2C, with properties calculated at the GGA-PBE level.

Lattice parameters (Å, degrees): 6.119 6.119 6.119 90.00 90.00 90.00
Each line ends with the local moment (μB).
Element x y z (fractional)
Be (0.573, 0.427, 0.927)  -0.08
C (0.625, 0.875, 0.125)  -0.11
Be (0.677, 0.677, 0.677)  -0.08
Mn (0.047, 0.875, 0.703)  1.61
Mn (0.703, 0.047, 0.875)  1.61
C (0.125, 0.625, 0.875)  -0.11
Mn (0.547, 0.625, 0.297)  1.61
Mn (0.875, 0.703, 0.047)  1.61
Mn (0.797, 0.953, 0.375)  1.61
Mn (0.953, 0.375, 0.797)  1.61
Mn (0.375, 0.797, 0.953)  1.61
Mn (0.625, 0.297, 0.547)  1.61
Be (0.323, 0.177, 0.823)  -0.08
Mn (0.125, 0.203, 0.453)  1.61
Be (0.073, 0.073, 0.073)  -0.08
Be (0.927, 0.573, 0.427)  -0.08
Mn (0.203, 0.453, 0.125)  1.61
C (0.375, 0.375, 0.375)  -0.11
Be (0.427, 0.927, 0.573)  -0.08
Mn (0.453, 0.125, 0.203)  1.61
Be (0.177, 0.823, 0.323)  -0.08
Mn (0.297, 0.547, 0.625)  1.61
Be (0.823, 0.323, 0.177)  -0.08
C (0.875, 0.125, 0.625)  -0.11

Values from the calculation:
SG: No. 213
Formation energy from the elements: -0.14 eV per atom

6.
Below is a relaxed structure of Li2Tl2Hg, with properties calculated at the GGA-PBE level.

Lattice parameters (Å, degrees): 8.235 8.235 3.369 90.00 90.00 90.00
Element x y z (fractional)
Tl (0.142, 0.358, 0.000)
Tl (0.858, 0.642, 0.000)
Li (0.158, 0.658, 0.500)
Tl (0.642, 0.142, 0.000)
Tl (0.358, 0.858, 0.000)
Li (0.658, 0.842, 0.500)
Hg (0.500, 0.500, 0.000)
Hg (0.000, 0.000, 0.000)
Li (0.842, 0.342, 0.500)
Li (0.342, 0.158, 0.500)

Values from the calculation:
SG: No. 127
ΔE to the lowest computed polymorph: 19 meV per atom
Formation energy from the elements: -0.15 eV per atom

7.
Below is a relaxed structure of ReSiBr, with properties calculated at the GGA-PBE level.

Lattice parameters (Å, degrees): 4.324 4.324 4.324 60.00 60.00 60.00
Each line ends with the local moment (μB).
Element x y z (fractional)
Re (0.000, 0.000, 0.000)  1.44
Br (0.750, 0.750, 0.750)  0.01
Si (0.500, 0.500, 0.500)  -0.04

Values from the calculation:
SG: No. 216
ΔE to the lowest computed polymorph: 1560 meV per atom
Formation energy without anion corrections: 1.94 eV per atom

8.
Below is a relaxed structure of Ba2In3Hg5, with properties calculated at the GGA-PBE level.

Lattice parameters (Å, degrees): 7.051 9.926 9.926 76.34 69.19 69.19
Element x y z (fractional)
Ba (0.373, 0.868, 0.386)
Ba (0.627, 0.132, 0.614)
Hg (0.014, 0.236, 0.236)
Hg (0.116, 0.030, 0.738)
Ba (0.873, 0.386, 0.868)
Ba (0.127, 0.614, 0.132)
In (0.631, 0.491, 0.248)
In (0.869, 0.752, 0.509)
Hg (0.750, 0.500, 0.500)
Hg (0.514, 0.236, 0.236)
Hg (0.250, 0.500, 0.500)
Hg (0.884, 0.970, 0.262)
Hg (0.616, 0.738, 0.030)
In (0.750, 0.000, 0.000)
In (0.250, 0.000, 0.000)
Hg (0.986, 0.764, 0.764)
In (0.369, 0.509, 0.752)
Hg (0.384, 0.262, 0.970)
In (0.131, 0.248, 0.491)
Hg (0.486, 0.764, 0.764)

Values from the calculation:
SG: No. 72
ΔE to the lowest computed polymorph: 0 meV per atom
Formation energy from the elements: -0.36 eV per atom

9.
Below is a relaxed structure of FeHCI, with properties calculated at the GGA-PBE level.

Lattice parameters (Å, degrees): 6.346 3.114 3.439 90.00 108.65 90.03
Element x y z (fractional)
Fe (0.158, 0.781, 0.127)
I (0.796, 0.281, 0.914)
C (0.292, 0.282, 0.207)
H (0.159, 0.782, 0.627)

Values from the calculation:
SG: No. 6
ΔE to the lowest computed polymorph: 268 meV per atom

10.
Below is a relaxed structure of HgTeO3, with properties calculated at the GGA-PBE level.

Lattice parameters (Å, degrees): 6.800 8.822 6.361 90.00 99.18 90.00
Element x y z (fractional)
O (0.609, 0.622, 0.630)
O (0.786, 0.516, 0.045)
O (0.891, 0.122, 0.870)
Te (0.704, 0.194, 0.627)
O (0.391, 0.378, 0.370)
Te (0.296, 0.806, 0.373)
O (0.381, 0.184, 0.008)
Hg (0.219, 0.944, 0.849)
Hg (0.281, 0.444, 0.651)
Hg (0.719, 0.556, 0.349)
Te (0.796, 0.694, 0.873)
O (0.714, 0.016, 0.455)
Hg (0.781, 0.056, 0.151)
Te (0.204, 0.306, 0.127)
O (0.881, 0.316, 0.508)
O (0.109, 0.878, 0.130)
O (0.214, 0.484, 0.955)
O (0.119, 0.684, 0.492)
O (0.619, 0.816, 0.992)
O (0.286, 0.984, 0.545)

Values from the calculation:
SG: No. 14
Formation energy without anion corrections: -0.72 eV per atom

11.
Below is a relaxed structure of Ni2AgOs, with properties calculated at the GGA-PBE level.

Lattice parameters (Å, degrees): 5.206 5.206 5.206 150.18 126.20 62.73
Each line ends with the local moment (μB).
Element x y z (fractional)
Os (0.750, 0.250, 0.500)  0.68
Ni (0.512, 0.512, 0.000)  0.64
Ag (0.250, 0.750, 0.500)  0.01
Ni (0.988, 0.988, 0.000)  0.64

Values from the calculation:
SG: No. 71
ΔE to the lowest computed polymorph: 376 meV per atom
Formation energy from the elements: 0.57 eV per atom

12.
Below is a relaxed structure of AcPr3Sm4, with properties calculated at the GGA-PBE level.

Lattice parameters (Å, degrees): 7.403 7.404 10.490 90.00 90.00 90.00
Element x y z (fractional)
Pr (0.246, 0.061, 0.250)
Sm (0.753, 0.061, 0.751)
Pr (0.999, 0.811, 0.500)
Ac (0.499, 0.810, 0.000)
Pr (0.001, 0.311, 0.000)
Sm (0.500, 0.311, 0.000)
Sm (0.753, 0.061, 0.249)
Sm (0.247, 0.561, 0.749)
Ac (0.501, 0.310, 0.500)
Sm (0.000, 0.311, 0.500)
Sm (0.500, 0.811, 0.500)
Pr (0.246, 0.061, 0.750)
Sm (0.000, 0.811, 0.000)
Pr (0.754, 0.561, 0.750)
Pr (0.754, 0.561, 0.250)
Sm (0.247, 0.561, 0.251)

Values from the calculation:
SG: No. 31
ΔE to the lowest computed polymorph: 0 meV per atom
Formation energy from the elements: 0.02 eV per atom

13.
Below is a relaxed structure of K2MoAs, with properties calculated at the GGA-PBE level.

Lattice parameters (Å, degrees): 12.698 12.698 9.312 47.01 47.01 90.00
Each line ends with the local moment (μB).
Element x y z (fractional)
K (0.315, 0.625, 0.250)  0.01
As (0.250, 0.750, 0.500)  -0.11
As (0.500, 0.500, 0.000)  -0.11
K (0.875, 0.685, 0.750)  0.01
K (0.375, 0.565, 0.750)  0.01
Mo (0.000, 0.000, 0.000)  2.77
Mo (0.750, 0.250, 0.500)  2.77
K (0.435, 0.125, 0.250)  0.01

Values from the calculation:
SG: No. 122
Formation energy from the elements: 0.48 eV per atom

14.
Below is a relaxed structure of FeCoOs2, with properties calculated at the GGA-PBE level.

Lattice parameters (Å, degrees): 2.986 2.986 5.745 90.00 90.00 90.00
Each line ends with the local moment (μB).
Element x y z (fractional)
Fe (0.500, 0.500, 0.750)  2.29
Os (0.000, 0.000, 0.499)  0.21
Os (0.000, 0.000, 0.001)  0.21
Co (0.500, 0.500, 0.250)  1.21

Values from the calculation:
SG: No. 123
ΔE to the lowest computed polymorph: 201 meV per atom
Formation energy from the elements: 0.31 eV per atom

15.
Below is a relaxed structure of LiCr2Ru, with properties calculated at the GGA-PBE level.

Lattice parameters (Å, degrees): 2.565 2.565 8.046 90.00 90.00 90.00
Element x y z (fractional)
Li (0.000, 0.000, 0.506)
Cr (0.000, 0.000, 0.996)
Cr (0.500, 0.500, 0.225)
Ru (0.500, 0.500, 0.773)

Values from the calculation:
SG: No. 99
Formation energy from the elements: 0.39 eV per atom

16.
Below is a relaxed structure of Ca3Nd3CuS8, with properties calculated at the GGA-PBE level.

Lattice parameters (Å, degrees): 8.102 8.008 8.068 119.90 90.00 120.39
Each line ends with the local moment (μB).
Element x y z (fractional)
S (0.783, 0.567, 0.285)  0.01
Nd (0.500, 0.000, 0.500)  0.00
S (0.254, 0.002, 0.252)  0.01
Nd (0.500, 0.500, 0.500)  0.00
Ca (0.000, 0.000, 0.000)  0.00
S (0.746, 0.998, 0.748)  0.01
Ca (0.000, 0.500, 0.000)  0.00
S (0.249, 0.497, 0.248)  0.00
S (0.751, 0.503, 0.752)  0.00
S (0.217, 0.433, 0.715)  0.01
S (0.748, 0.002, 0.251)  0.01
Ca (0.500, 0.500, 0.000)  0.00
Cu (0.000, 0.000, 0.500)  0.12
S (0.252, 0.998, 0.749)  0.01
Nd (0.000, 0.500, 0.500)  0.00

Values from the calculation:
SG: No. 12
Formation energy without anion corrections: -1.76 eV per atom

17.
Below is a relaxed structure of RbAgPb2, with properties calculated at the GGA-PBE level.

Lattice parameters (Å, degrees): 3.873 3.873 8.593 90.00 90.00 90.00
Element x y z (fractional)
Pb (0.000, 0.000, 0.180)
Rb (0.500, 0.500, 0.500)
Pb (0.000, 0.000, 0.820)
Ag (0.500, 0.500, 0.000)

Values from the calculation:
SG: No. 123
Formation energy from the elements: 0.00 eV per atom

18.
Below is a relaxed structure of NdTm2Tl, with properties calculated at the GGA-PBE level.

Lattice parameters (Å, degrees): 4.810 4.893 4.893 90.00 90.00 90.00
Each line ends with the local moment (μB).
Element x y z (fractional)
Tm (0.000, 0.500, 0.000)  0.13
Tm (0.000, 0.000, 0.500)  0.13
Tl (0.500, 0.000, 0.000)  -0.01
Nd (0.500, 0.500, 0.500)  0.10

Values from the calculation:
SG: No. 123
ΔE to the lowest computed polymorph: 0 meV per atom
Formation energy from the elements: -0.17 eV per atom

19.
Below is a relaxed structure of Nd2Al4NiIr3, with properties calculated at the GGA-PBE level.

Lattice parameters (Å, degrees): 4.209 4.209 10.411 90.00 90.00 90.00
Element x y z (fractional)
Ir (0.000, 0.500, 0.137)
Nd (0.000, 0.500, 0.743)
Nd (0.500, 0.000, 0.257)
Ir (0.000, 0.000, 0.500)
Ir (0.500, 0.000, 0.863)
Al (0.000, 0.500, 0.380)
Al (0.500, 0.000, 0.620)
Ni (0.500, 0.500, 0.500)
Al (0.000, 0.000, 0.000)
Al (0.500, 0.500, 0.000)

Values from the calculation:
SG: No. 115
Formation energy from the elements: -0.80 eV per atom

20.
Below is a relaxed structure of PmMnSb2, with properties calculated at the GGA-PBE level.

Lattice parameters (Å, degrees): 3.449 3.449 10.733 80.75 80.75 60.00
Each line ends with the local moment (μB).
Element x y z (fractional)
Sb (0.084, 0.084, 0.748)  -0.03
Pm (0.500, 0.500, 0.500)  -0.03
Mn (0.000, 0.000, 0.000)  3.87
Sb (0.916, 0.916, 0.252)  -0.03

Values from the calculation:
SG: No. 166
ΔE to the lowest computed polymorph: 659 meV per atom
Formation energy without anion corrections: 0.09 eV per atom